Material: YPaMn2O8
Method: DFT, PBE+U
State: relaxed

Geometry as CIF:
```
data_YPaMn2O8
_chemical_formula_sum 'Y2 Pa2 Mn4 O16'
_space_group_name_H-M_alt 'I -4'
_space_group_IT_number 82
_cell_length_a 5.153
_cell_length_b 5.153
_cell_length_c 11.229
_cell_angle_alpha 90.00
_cell_angle_beta 90.00
_cell_angle_gamma 90.00
loop_
_space_group_symop_operation_xyz
'x,y,z'
'y,-x,-z'
'-x,-y,z'
'-y,x,-z'
'x+1/2,y+1/2,z+1/2'
'y+1/2,-x+1/2,-z+1/2'
'-x+1/2,-y+1/2,z+1/2'
'-y+1/2,x+1/2,-z+1/2'
loop_
_atom_site_label
_atom_site_fract_x
_atom_site_fract_y
_atom_site_fract_z
Y1 0.000 0.000 0.000
Pa1 0.000 0.500 0.250
Mn1 0.000 0.000 0.500
Mn2 0.000 0.500 0.750
O1 0.165 0.239 0.421
O2 0.176 0.790 0.825
```

Computed properties:
total magnetic moment: 6.000 μB/f.u.
energy: -8.20 eV per atom